VASP calculation (PBE) on a relaxed structure of TbSiPd6.

Cell and atoms, written as POSCAR:
```
TbSiPd6
1.0
-5.060 -2.067 1.381
-0.417 -5.130 2.299
-1.347 -0.129 6.378
Tb Si Pd
1 1 6
Direct
0.500 0.500 0.500
0.000 0.000 0.000
0.913 0.913 0.735
0.438 0.913 0.735
0.087 0.562 0.265
0.562 0.087 0.265
0.087 0.087 0.265
0.913 0.438 0.735
```

**Density**: 8.82 g cm⁻³
**Uncorrected formation energy**: -3.29 eV/f.u.
**Symmetry**: R-3m
**Raw total energy**: -5.56 eV per atom
**D(E_F)**: 3.36 states/eV per cell


VASP calculation (PBE) on a relaxed structure of TbSi4Pd8.

Cell and atoms, written as POSCAR:
```
TbSi4Pd8
1.0
-0.261 5.226 -0.673
-2.118 3.260 5.459
5.693 3.153 1.601
Tb Si Pd
1 4 8
Direct
0.000 0.000 0.000
0.000 0.000 0.500
0.500 0.000 0.500
0.000 0.500 0.000
0.500 0.500 0.000
0.000 0.330 0.670
0.000 0.670 0.330
0.330 0.670 0.670
0.670 0.330 0.330
0.500 0.776 0.224
0.500 0.224 0.776
0.276 0.224 0.224
0.724 0.776 0.776
```

**Density**: 9.31 g cm⁻³
**Uncorrected formation energy**: -8.54 eV/f.u.
**Symmetry**: I4/mmm
**Raw total energy**: -5.88 eV per atom
**D(E_F)**: 6.50 states/eV per cell


VASP calculation (PBE) on a relaxed structure of Tb2Si3Pd9.

Cell and atoms, written as POSCAR:
```
Tb2Si3Pd9
1.0
7.070 -0.042 -2.980
-4.163 6.445 0.008
0.048 0.081 10.028
Tb Si Pd
4 6 18
Direct
0.337 0.243 0.751
0.663 0.757 0.249
0.992 0.586 0.749
0.008 0.414 0.251
0.500 0.000 0.000
0.500 0.500 0.500
0.846 0.174 0.500
0.154 0.826 0.500
0.174 0.346 0.000
0.826 0.654 0.000
0.452 0.921 0.747
0.548 0.079 0.253
0.674 0.705 0.753
0.326 0.295 0.247
0.434 0.628 0.922
0.566 0.372 0.078
0.206 0.512 0.578
0.794 0.488 0.422
0.889 0.139 0.750
0.111 0.861 0.250
0.146 0.989 0.954
0.854 0.011 0.046
0.535 0.192 0.546
0.465 0.808 0.454
0.890 0.860 0.573
0.110 0.140 0.427
0.787 0.318 0.927
0.213 0.682 0.073
```

**Density**: 9.88 g cm⁻³
**Uncorrected formation energy**: -11.62 eV/f.u.
**Symmetry**: C2/c
**Raw total energy**: -5.99 eV per atom
**D(E_F)**: 15.80 states/eV per cell


VASP calculation (PBE) on a relaxed structure of TbYSiPd.

Cell and atoms, written as POSCAR:
```
TbYSiPd
1.0
-4.481 -1.860 1.184
-1.166 -4.692 -1.250
-0.394 -3.502 3.538
Y Si Tb Pd
1 1 1 1
Direct
0.500 0.500 0.500
0.750 0.750 0.750
0.000 0.000 0.000
0.250 0.250 0.250
```

**Density**: 7.21 g cm⁻³
**Uncorrected formation energy**: -2.91 eV/f.u.
**Excess energy over the best structure of this formula in the dataset**: 114 meV/atom
**Symmetry**: F-43m
**Raw total energy**: -6.15 eV per atom
**D(E_F)**: 1.98 states/eV per cell